First-principles (PBEsol) data for NbCdO2 after structural relaxation, as listed in Alexandria via LeMat-Bulk.

Cell lengths 6.6985, 6.6985, 6.6985 Å; angles 28.12, 28.12, 28.12 degrees
Last column: nearest neighbours and their distance in Å.
Positions (direct):
Nb1 0.0000 0.0000 0.0000  2 O 1.93
Cd1 0.5000 0.5000 0.5000  6 O 2.28
O1 0.1000 0.1000 0.1000  1 Nb 1.93
O2 0.9000 0.9000 0.9000  1 Nb 1.93

Offset from the most stable computed form: 277 meV per atom
Calculated density: 6.68 g/cm3